InReF2 after structural relaxation. Source: the Alexandria database, functional GGA-PBE.

Cell: 8.707 8.707 8.707 Å, 18.45 18.45 18.45°
Positions (direct):
In1 0.000 0.000 0.000
Re1 0.500 0.500 0.500
F1 0.089 0.089 0.089
F2 0.911 0.911 0.911

Summary:
N(E_F)   2.22 states/eV/cell
Raw formation energy   -0.416 eV/atom
Relative energy among the computed polymorphs   2.29 eV per formula unit
Calculated density   9.75 g/cm3
Space-group type   No. 166